Record 1
# Ta5Rh

A relaxed Ta5Rh crystal (PBE, Alexandria via LeMat-Bulk).

Calculated values
total magnetic moment = 0.000 μB per atom
DFT formation energy = -1.16 eV per formula unit
final energy = -67.8 eV/cell
calculated volume = 105.3 Å³/cell

Cell lengths 9.783, 3.280, 3.280 Å; angles 90.00, 90.00, 90.00 degrees
Sites, in units of the cell vectors:
Rh: 0.833 0.500 0.500
Ta: 0.995 0.000 0.000
Ta: 0.163 0.500 0.500
Ta: 0.333 0.000 0.000
Ta: 0.504 0.500 0.500
Ta: 0.672 0.000 0.000



Record 2
# ZnNi4Rh2

A relaxed ZnNi4Rh2 crystal (PBE, Alexandria via LeMat-Bulk).

Calculated values
total magnetic moment = 0.540 μB per atom
DFT formation energy = -0.38 eV per formula unit
final energy = -39.5 eV/cell
calculated volume = 86.6 Å³/cell

Cell lengths 4.508, 6.906, 4.505 Å; angles 123.34, 132.26, 70.36 degrees
Sites, in units of the cell vectors:
Zn: 0.000 0.000 0.000
Ni: 0.144 0.428 0.284
Ni: 0.856 0.572 0.716
Ni: 0.287 0.852 0.565
Ni: 0.713 0.148 0.435
Rh: 0.423 0.285 0.862
Rh: 0.577 0.715 0.138



Record 3
# Se2Br

A relaxed Se2Br crystal (PBE, Alexandria via LeMat-Bulk).

Calculated values
total magnetic moment = 0.000 μB per atom
energy relative to the elements, uncorrected = 0.113 eV per atom
final energy = -16.6 eV/cell
calculated volume = 247.1 Å³/cell

Cell lengths 6.913, 6.913, 9.467 Å; angles 77.76, 77.76, 34.05 degrees
Sites, in units of the cell vectors:
Se: 0.404 0.404 0.472
Se: 0.325 0.325 0.293
Se: 0.125 0.125 0.790
Se: 0.713 0.713 0.810
Br: 0.929 0.929 0.104
Br: 0.670 0.670 0.364



Record 4
# MnTe2P

A relaxed MnTe2P crystal (PBE, Alexandria via LeMat-Bulk).

Calculated values
total magnetic moment = 0.833 μB per atom
energy relative to the elements, uncorrected = 0.435 eV per atom
final energy = -19.1 eV/cell
calculated volume = 82.4 Å³/cell

Cell lengths 3.454, 3.454, 6.901 Å; angles 90.00, 90.00, 90.00 degrees
Sites, in units of the cell vectors:
Mn: 0.500 0.500 0.000
Te: 0.000 0.000 0.765
Te: 0.000 0.000 0.235
P: 0.500 0.500 0.500